Record 1
Material: MgTl3Pb2
Method: DFT, GGA-PBE
State: relaxed

Cell: 3.469 5.298 9.712 Å, 90.00 90.00 90.00°
Fractional positions:
1 Mg 0.500 0.500 0.330
2 Tl 0.500 0.000 0.839
3 Pb 0.000 0.000 0.487
4 Tl 0.500 0.500 0.651
5 Tl 0.500 0.000 0.175
6 Pb 0.000 0.500 0.017

Results
Spin magnetization in μB per cell: 0.0
Total DFT energy (no corrections) in eV per atom: -2.653
Fermi-level density of states in states/eV/f.u.: 2.63
Formation energy from the elements in eV/atom: 0.032



Record 2
Material: MgTl2Pb5
Method: DFT, GGA-PBE
State: relaxed

Cell: 5.480 7.179 7.179 Å, 90.00 90.00 90.00°
Fractional positions:
1 Pb 0.000 0.716 0.284
2 Pb 0.000 0.284 0.284
3 Tl 0.500 0.000 0.500
4 Mg 0.000 0.000 0.000
5 Pb 0.500 0.000 0.000
6 Pb 0.000 0.716 0.716
7 Tl 0.500 0.500 0.000
8 Pb 0.000 0.284 0.716

Results
Spin magnetization in μB per cell: 0.0
Total DFT energy (no corrections) in eV per atom: -2.897
Fermi-level density of states in states/eV/f.u.: 5.86
Energy above the lowest structure with this stoichiometry in eV per atom: 0.202
Formation energy from the elements in eV/atom: 0.212



Record 3
Material: Mg7Tl2Pb2
Method: DFT, GGA-PBE
State: relaxed

Cell: 6.319 8.007 6.319 Å, 90.00 112.71 90.00°
Fractional positions:
1 Mg 0.000 0.000 0.000
2 Mg 0.000 0.300 0.500
3 Pb 0.771 0.500 0.771
4 Mg 0.500 0.203 0.500
5 Mg 0.500 0.300 0.000
6 Tl 0.731 0.000 0.269
7 Tl 0.269 0.000 0.731
8 Mg 0.500 0.797 0.500
9 Mg 0.500 0.700 0.000
10 Mg 0.000 0.700 0.500
11 Pb 0.229 0.500 0.229

Results
Spin magnetization in μB per cell: 0.0
Total DFT energy (no corrections) in eV per atom: -2.080
Fermi-level density of states in states/eV/f.u.: 3.58
Energy above the lowest structure with this stoichiometry in eV per atom: 0.035
Formation energy from the elements in eV/atom: 0.040



Record 4
Material: MgTl4Pb15
Method: DFT, GGA-PBE
State: relaxed

Cell: 4.964 4.964 25.091 Å, 90.00 90.00 90.00°
Fractional positions:
1 Pb 0.000 0.500 0.703
2 Pb 0.500 0.500 0.803
3 Tl 0.000 0.000 0.803
4 Tl 0.000 0.000 0.399
5 Pb 0.500 0.500 0.000
6 Pb 0.000 0.500 0.905
7 Pb 0.000 0.500 0.500
8 Pb 0.500 0.500 0.197
9 Mg 0.000 0.000 0.000
10 Pb 0.500 0.500 0.601
11 Tl 0.000 0.000 0.601
12 Pb 0.000 0.500 0.095
13 Pb 0.500 0.000 0.095
14 Pb 0.500 0.000 0.703
15 Pb 0.500 0.000 0.500
16 Pb 0.500 0.000 0.905
17 Tl 0.000 0.000 0.197
18 Pb 0.000 0.500 0.297
19 Pb 0.500 0.500 0.399
20 Pb 0.500 0.000 0.297

Results
Spin magnetization in μB per cell: 0.0
Total DFT energy (no corrections) in eV per atom: -3.328
Fermi-level density of states in states/eV/f.u.: 14.18
Formation energy from the elements in eV/atom: 0.006